No. 1
Material: AlNiBr2Cl
Method: DFT, PBE-GGA
State: relaxed

Cell lengths 5.1603, 4.6685, 5.1603 Å; angles 90.00, 90.00, 90.00 degrees
Element x y z (fractional)
Ni  0.5000  0.5000  0.5000
Al  0.0000  0.0000  0.0000
Br  0.0000  0.0000  0.5000
Br  0.5000  0.0000  0.0000
Cl  0.0000  0.5000  0.0000

Output
Calculated volume (Å³/atom): 24.86
Crystal system: tetragonal
Size of the total moment (μB per cell): 0.82
Formation energy without anion corrections (eV/atom): 0.035
DOS(E_F) (states/eV per atom): 2.189
DFT total energy (eV for the cell shown): -14.5

No. 2
Material: AlOsBrCl2
Method: DFT, PBE-GGA
State: relaxed

Cell lengths 4.7996, 5.2330, 4.7996 Å; angles 90.00, 90.00, 90.00 degrees
Element x y z (fractional)
Os  0.0000  0.0000  0.0000
Al  0.5000  0.5000  0.5000
Br  0.0000  0.5000  0.0000
Cl  0.0000  0.0000  0.5000
Cl  0.5000  0.0000  0.0000

Output
Calculated volume (Å³/atom): 24.11
Crystal system: tetragonal
Size of the total moment (μB per cell): 0.97
Formation energy without anion corrections (eV/atom): 0.319
DOS(E_F) (states/eV per atom): 0.834
DFT total energy (eV for the cell shown): -18.7

No. 3
Material: AlPbBrCl4
Method: DFT, PBE-GGA
State: relaxed

Cell lengths 7.7144, 7.7144, 11.9824 Å; angles 58.46, 58.46, 74.49 degrees
Element x y z (fractional)
Al  0.6931  0.6931  0.6553
Al  0.3070  0.3070  0.3447
Pb  0.1652  0.1652  0.7667
Pb  0.8348  0.8348  0.2333
Br  0.1388  0.1388  0.0276
Br  0.8612  0.8612  0.9724
Cl  0.0961  0.0961  0.5646
Cl  0.9039  0.9039  0.4354
Cl  0.1478  0.5100  0.2176
Cl  0.4611  0.4611  0.3747
Cl  0.4900  0.8522  0.7824
Cl  0.5100  0.1478  0.2176
Cl  0.5389  0.5389  0.6253
Cl  0.8522  0.4900  0.7824

Output
Calculated volume (Å³/atom): 36.99
Crystal system: monoclinic
Size of the total moment (μB per cell): 0.00
Formation energy without anion corrections (eV/atom): -1.325
DOS(E_F) (states/eV per atom): 0.000
DFT total energy (eV for the cell shown): -51.6

No. 4
Material: Al2PbBr2Cl6
Method: DFT, PBE-GGA
State: relaxed

Cell lengths 6.6294, 6.6294, 11.2896 Å; angles 90.00, 90.00, 120.00 degrees
Element x y z (fractional)
Al  0.3333  0.6667  0.7738
Al  0.6667  0.3333  0.2262
Pb  0.0000  0.0000  0.0000
Br  0.3333  0.6667  0.5749
Br  0.6667  0.3333  0.4251
Cl  0.3511  0.3688  0.8473
Cl  0.0177  0.6489  0.8473
Cl  0.6312  0.9823  0.8473
Cl  0.6489  0.6312  0.1527
Cl  0.9823  0.3511  0.1527
Cl  0.3688  0.0177  0.1527

Output
Calculated volume (Å³/atom): 39.06
Crystal system: trigonal
Size of the total moment (μB per cell): 0.00
Formation energy without anion corrections (eV/atom): -1.330
DOS(E_F) (states/eV per atom): 0.000
DFT total energy (eV for the cell shown): -40.2

No. 5
Material: AlPt2BrCl
Method: DFT, PBE-GGA
State: relaxed

Cell lengths 4.6676, 6.7642, 4.6676 Å; angles 90.00, 90.00, 90.00 degrees
Element x y z (fractional)
Al  0.5000  0.5000  0.5000
Br  0.0000  0.0000  0.0000
Pt  0.0000  0.0000  0.5000
Pt  0.5000  0.0000  0.0000
Cl  0.0000  0.5000  0.0000

Output
Calculated volume (Å³/atom): 29.47
Crystal system: tetragonal
Size of the total moment (μB per cell): 0.00
Formation energy without anion corrections (eV/atom): 0.813
DOS(E_F) (states/eV per atom): 0.764
DFT total energy (eV for the cell shown): -15.3

No. 6
Material: Rb2AlBrCl6
Method: DFT, PBE-GGA
State: relaxed

Cell lengths 8.0078, 8.0078, 7.5821 Å; angles 58.12, 58.12, 90.00 degrees
Element x y z (fractional)
Al  0.5000  0.5000  0.0000
Br  0.0000  0.0000  0.0000
Rb  0.7500  0.2500  0.5000
Rb  0.2500  0.7500  0.5000
Cl  0.2380  0.2380  0.5241
Cl  0.7620  0.7620  0.4759
Cl  0.3005  0.3005  0.0000
Cl  0.6995  0.6995  0.0000
Cl  0.6995  0.3005  0.0000
Cl  0.3005  0.6995  0.0000

Output
Calculated volume (Å³/atom): 32.33
Crystal system: tetragonal
Size of the total moment (μB per cell): 0.00
Formation energy without anion corrections (eV/atom): -1.337
DOS(E_F) (states/eV per atom): 0.000
DFT total energy (eV for the cell shown): -31.8

No. 7
Material: RbAlBrCl2
Method: DFT, PBE-GGA
State: relaxed

Cell lengths 6.0772, 6.4182, 6.0772 Å; angles 90.00, 90.00, 90.00 degrees
Element x y z (fractional)
Al  0.5000  0.5000  0.5000
Br  0.0000  0.5000  0.0000
Rb  0.0000  0.0000  0.0000
Cl  0.0000  0.0000  0.5000
Cl  0.5000  0.0000  0.0000

Output
Calculated volume (Å³/atom): 47.41
Crystal system: tetragonal
Size of the total moment (μB per cell): 1.00
Formation energy without anion corrections (eV/atom): -0.301
DOS(E_F) (states/eV per atom): 2.935
DFT total energy (eV for the cell shown): -11.6

No. 8
Material: AlSBrCl2
Method: DFT, PBE-GGA
State: relaxed

Cell lengths 4.5072, 4.5072, 5.2854 Å; angles 90.00, 90.00, 90.00 degrees
Element x y z (fractional)
S  0.0000  0.0000  0.5000
Al  0.0000  0.0000  0.0000
Br  0.5000  0.5000  0.5000
Cl  0.0000  0.5000  0.0000
Cl  0.5000  0.0000  0.0000

Output
Calculated volume (Å³/atom): 21.47
Crystal system: tetragonal
Relative energy among the computed polymorphs (meV per atom): 0
Size of the total moment (μB per cell): 0.00
Formation energy without anion corrections (eV/atom): -0.389
DOS(E_F) (states/eV per atom): 0.234
DFT total energy (eV for the cell shown): -15.2